Record 1
First-principles (GGA-PBE) data for KNdZr4O12 after structural relaxation, as listed in Alexandria via LeMat-Bulk.

## Properties
For the density, the calculation gives 4.31 g/cm3. The value obtained for the uncorrected formation energy is -2.57 eV/atom. Its density of states at the Fermi level is 11.472 states/eV per cell.

Geometry as CIF:
```
data_KNdZr4O12
_chemical_formula_sum 'K2 Nd2 Zr8 O24'
_cell_length_a 8.335
_cell_length_b 8.264
_cell_length_c 8.289
_cell_angle_alpha 90.00
_cell_angle_beta 90.00
_cell_angle_gamma 90.00
_space_group_name_H-M_alt 'A m m 2'
_space_group_IT_number 38
loop_
_space_group_symop_operation_xyz
'x,y,z'
'-x,-y,z'
'-x,y,z'
'x,-y,z'
'x,y+1/2,z+1/2'
'-x,-y+1/2,z+1/2'
'-x,y+1/2,z+1/2'
'x,-y+1/2,z+1/2'
loop_
_atom_site_label
_atom_site_type_symbol
_atom_site_fract_x
_atom_site_fract_y
_atom_site_fract_z
_atom_site_occupancy
K1 K 0.000 0.000 0.000 1
Nd1 Nd 0.500 0.000 0.494 1
Zr1 Zr 0.245 0.247 0.745 1
O1 O 0.000 0.229 0.752 1
O2 O 0.232 0.000 0.226 1
O3 O 0.288 0.228 0.494 1
O4 O 0.310 0.000 0.731 1
O5 O 0.500 0.187 0.266 1
```



Record 2
First-principles (GGA-PBE) data for KNdP2Pt4 after structural relaxation, as listed in Alexandria via LeMat-Bulk.

## Properties
For the density, the calculation gives 9.54 g/cm3. Its energy of formation is -0.71 eV/atom. Its density of states at the Fermi level is 5.150 states/eV per cell.

Geometry as CIF:
```
data_KNdP2Pt4
_chemical_formula_sum 'K1 Nd1 P2 Pt4'
_cell_length_a 4.057
_cell_length_b 4.057
_cell_length_c 10.848
_cell_angle_alpha 90.00
_cell_angle_beta 90.00
_cell_angle_gamma 90.00
_space_group_name_H-M_alt 'P 4/m m m'
_space_group_IT_number 123
_space_group_name_Hall '-P 4 2'
loop_
_atom_site_label
_atom_site_type_symbol
_atom_site_fract_x
_atom_site_fract_y
_atom_site_fract_z
_atom_site_occupancy
K1 K 0.000 0.000 0.000 1
Nd1 Nd 0.000 0.000 0.500 1
P1 P 0.500 0.500 0.182 1
Pt1 Pt 0.000 0.500 0.291 1
```



Record 3
First-principles (GGA-PBE) data for K3Nd3P4S16 after structural relaxation, as listed in Alexandria via LeMat-Bulk.

## Properties
For the density, the calculation gives 2.68 g/cm3. The value obtained for the uncorrected formation energy is -1.10 eV/atom. Its density of states at the Fermi level is 0.000 states/eV per cell.

Geometry as CIF:
```
data_K3Nd3P4S16
_chemical_formula_sum 'K12 Nd12 P16 S64'
_cell_length_a 16.375
_cell_length_b 11.828
_cell_length_c 15.175
_cell_angle_alpha 90.00
_cell_angle_beta 91.16
_cell_angle_gamma 90.00
_space_group_name_H-M_alt 'C 1 2/c 1'
_space_group_IT_number 15
loop_
_space_group_symop_operation_xyz
'x,y,z'
'-x,-y,-z'
'-x,y,-z+1/2'
'x,-y,z+1/2'
'x+1/2,y+1/2,z'
'-x+1/2,-y+1/2,-z'
'-x+1/2,y+1/2,-z+1/2'
'x+1/2,-y+1/2,z+1/2'
loop_
_atom_site_label
_atom_site_type_symbol
_atom_site_fract_x
_atom_site_fract_y
_atom_site_fract_z
_atom_site_occupancy
K1 K 0.000 0.000 0.000 1
K2 K 0.211 0.183 0.337 1
Nd1 Nd 0.000 0.253 0.750 1
Nd2 Nd 0.131 0.383 0.011 1
P1 P 0.081 0.315 0.527 1
P2 P 0.185 0.149 0.861 1
S1 S 0.008 0.262 0.424 1
S2 S 0.020 0.435 0.602 1
S3 S 0.093 0.053 0.806 1
S4 S 0.110 0.185 0.609 1
S5 S 0.159 0.317 0.829 1
S6 S 0.184 0.391 0.479 1
S7 S 0.186 0.134 0.996 1
S8 S 0.203 0.394 0.185 1
```



Record 4
First-principles (GGA-PBE) data for K2NdP2S6 after structural relaxation, as listed in Alexandria via LeMat-Bulk.

## Properties
For the density, the calculation gives 2.69 g/cm3. The value obtained for the uncorrected formation energy is -0.90 eV/atom. Its density of states at the Fermi level is 4.504 states/eV per cell.

Geometry as CIF:
```
data_K2NdP2S6
_chemical_formula_sum 'K4 Nd2 P4 S12'
_cell_length_a 11.830
_cell_length_b 6.975
_cell_length_c 8.127
_cell_angle_alpha 90.00
_cell_angle_beta 118.81
_cell_angle_gamma 90.00
_space_group_name_H-M_alt 'C 1 2/m 1'
_space_group_IT_number 12
loop_
_space_group_symop_operation_xyz
'x,y,z'
'-x,-y,-z'
'-x,y,-z'
'x,-y,z'
'x+1/2,y+1/2,z'
'-x+1/2,-y+1/2,-z'
'-x+1/2,y+1/2,-z'
'x+1/2,-y+1/2,z'
loop_
_atom_site_label
_atom_site_type_symbol
_atom_site_fract_x
_atom_site_fract_y
_atom_site_fract_z
_atom_site_occupancy
K1 K 0.208 0.000 0.194 1
Nd1 Nd 0.000 0.000 0.500 1
P1 P 0.041 0.500 0.173 1
S1 S 0.051 0.258 0.804 1
S2 S 0.238 0.500 0.375 1
```



Record 5
First-principles (GGA-PBE) data for K2NdP2S7 after structural relaxation, as listed in Alexandria via LeMat-Bulk.

## Properties
For the density, the calculation gives 2.62 g/cm3. The value obtained for the uncorrected formation energy is -1.04 eV/atom. Its density of states at the Fermi level is 0.000 states/eV per cell.

Geometry as CIF:
```
data_K2NdP2S7
_chemical_formula_sum 'K8 Nd4 P8 S28'
_cell_length_a 9.234
_cell_length_b 6.936
_cell_length_c 21.405
_cell_angle_alpha 90.00
_cell_angle_beta 109.74
_cell_angle_gamma 90.00
_space_group_name_H-M_alt 'P 1 21/c 1'
_space_group_IT_number 14
loop_
_space_group_symop_operation_xyz
'x,y,z'
'-x,-y,-z'
'-x,y+1/2,-z+1/2'
'x,-y+1/2,z+1/2'
loop_
_atom_site_label
_atom_site_type_symbol
_atom_site_fract_x
_atom_site_fract_y
_atom_site_fract_z
_atom_site_occupancy
K1 K 0.162 0.043 0.316 1
K2 K 0.248 0.513 0.490 1
Nd1 Nd 0.342 0.033 0.651 1
P1 P 0.037 0.010 0.456 1
P2 P 0.431 0.513 0.329 1
S1 S 0.045 0.233 0.598 1
S2 S 0.076 0.741 0.097 1
S3 S 0.217 0.024 0.758 1
S4 S 0.268 0.036 0.494 1
S5 S 0.418 0.079 0.221 1
S6 S 0.436 0.742 0.390 1
S7 S 0.490 0.224 0.889 1
```



Record 6
First-principles (GGA-PBE) data for KNdP2S8 after structural relaxation, as listed in Alexandria via LeMat-Bulk.

## Properties
For the density, the calculation gives 2.61 g/cm3. The value obtained for the uncorrected formation energy is -0.58 eV/atom. Its density of states at the Fermi level is 10.390 states/eV per cell.

Geometry as CIF:
```
data_KNdP2S8
_chemical_formula_sum 'K1 Nd1 P2 S8'
_cell_length_a 6.1850
_cell_length_b 6.1850
_cell_length_c 9.6291
_cell_angle_alpha 90.00
_cell_angle_beta 90.00
_cell_angle_gamma 120.00
_space_group_name_H-M_alt 'P -3'
_space_group_IT_number 147
loop_
_space_group_symop_operation_xyz
'x,y,z'
'-x,-y,-z'
'-y,x-y,z'
'y,-x+y,-z'
'-x+y,-x,z'
'x-y,x,-z'
loop_
_atom_site_label
_atom_site_type_symbol
_atom_site_fract_x
_atom_site_fract_y
_atom_site_fract_z
_atom_site_occupancy
K1 K 0.0000 0.0000 0.0000 1
Nd1 Nd 0.0000 0.0000 0.5000 1
P1 P 0.3333 0.6667 0.7402 1
S1 S 0.0011 0.6319 0.3188 1
S2 S 0.3333 0.6667 0.9519 1
```



Record 7
First-principles (GGA-PBE) data for K2NdPaS4 after structural relaxation, as listed in Alexandria via LeMat-Bulk.

## Properties
For the density, the calculation gives 4.44 g/cm3. The value obtained for the uncorrected formation energy is -1.65 eV/atom. Its density of states at the Fermi level is 6.682 states/eV per cell.

Geometry as CIF:
```
data_K2NdPaS4
_chemical_formula_sum 'K2 Nd1 Pa1 S4'
_cell_length_a 7.131
_cell_length_b 4.091
_cell_length_c 7.811
_cell_angle_alpha 90.00
_cell_angle_beta 107.50
_cell_angle_gamma 90.00
_space_group_name_H-M_alt 'P 1 2/m 1'
_space_group_IT_number 10
loop_
_space_group_symop_operation_xyz
'x,y,z'
'-x,-y,-z'
'-x,y,-z'
'x,-y,z'
loop_
_atom_site_label
_atom_site_type_symbol
_atom_site_fract_x
_atom_site_fract_y
_atom_site_fract_z
_atom_site_occupancy
K1 K 0.000 0.000 0.000 1
K2 K 0.500 0.500 0.000 1
Nd1 Nd 0.000 0.500 0.500 1
Pa1 Pa 0.500 0.000 0.500 1
S1 S 0.248 0.000 0.710 1
S2 S 0.273 0.500 0.293 1
```



Record 8
First-principles (GGA-PBE) data for KNdPaS4 after structural relaxation, as listed in Alexandria via LeMat-Bulk.

## Properties
For the density, the calculation gives 4.14 g/cm3. The value obtained for the uncorrected formation energy is -1.70 eV/atom. Its density of states at the Fermi level is 24.219 states/eV per cell.

Geometry as CIF:
```
data_KNdPaS4
_chemical_formula_sum 'K4 Nd4 Pa4 S16'
_cell_length_a 8.374
_cell_length_b 8.598
_cell_length_c 12.105
_cell_angle_alpha 90.00
_cell_angle_beta 90.00
_cell_angle_gamma 90.00
_space_group_name_H-M_alt 'I m m a'
_space_group_IT_number 74
_space_group_name_Hall '-I 2b 2'
loop_
_atom_site_label
_atom_site_type_symbol
_atom_site_fract_x
_atom_site_fract_y
_atom_site_fract_z
_atom_site_occupancy
K1 K 0.000 0.250 0.127 1
Nd1 Nd 0.000 0.000 0.500 1
Pa1 Pa 0.250 0.250 0.750 1
S1 S 0.000 0.043 0.736 1
S2 S 0.222 0.250 0.527 1
```